#1
ZrBC3: optimized geometry, PBEsol.

Output
For the total moment, the calculation gives 0.00 μB per formula unit. The value obtained for the calculated density is 5.37 Mg/m³.

Cell: 3.4940 3.4940 3.4940 Å, 90.00 90.00 90.00°
Space group Pm-3m (No. 221)
Inequivalent atoms, fractional coordinates:
Zr (0.0000, 0.0000, 0.0000) [1 per cell]
B (0.5000, 0.5000, 0.5000) [1 per cell]
C (0.0000, 0.5000, 0.5000) [3 per cell]


#2
ZrBC3: optimized geometry, PBEsol.

Output
For the total moment, the calculation gives 0.00 μB per formula unit. The value obtained for the calculated density is 2.93 Mg/m³.

Cell: 4.2784 4.2784 4.2784 Å, 90.00 90.00 90.00°
Space group Pm-3m (No. 221)
Inequivalent atoms, fractional coordinates:
Zr (0.0000, 0.0000, 0.0000) [1 per cell]
B (0.5000, 0.5000, 0.5000) [1 per cell]
C (0.0000, 0.0000, 0.5000) [3 per cell]


Pick the least stable structure from those above. Pick: #2